Model a:
Computed, not measured: a geometry-optimized DyAsPO structure at the PBE level of DFT.

```
DyAsPO
1.0
-1.231 -2.167 3.469
-0.266 -3.572 -2.326
7.478 -1.624 1.639
As Dy O P
2 2 2 2
Direct
0.000 0.000 0.500 As
0.500 0.500 0.500 As
0.000 0.500 0.112 Dy
0.500 0.000 0.888 Dy
0.000 0.000 0.000 O
0.500 0.500 0.000 O
0.500 0.000 0.334 P
0.000 0.500 0.666 P
```

Model b:
Computed, not measured: a geometry-optimized DyAsPO structure at the PBE level of DFT.

```
DyAsPO
1.0
-1.769 -0.349 2.709
4.814 -4.099 2.616
2.903 5.033 2.544
As Dy O P
2 2 2 2
Direct
0.500 0.578 0.130 As
0.500 0.422 0.630 As
0.000 0.941 0.251 Dy
0.000 0.059 0.751 Dy
0.500 0.038 0.011 O
0.500 0.962 0.511 O
0.000 0.369 0.361 P
0.000 0.631 0.861 P
```

Which is most stable, and by how much? model b, by 134 meV per atom.

Model a:
Computed, not measured: a geometry-optimized DyAsPO structure at the PBE level of DFT.

```
DyAsPO
1.0
4.987 0.000 0.000
0.000 6.764 0.000
0.000 0.000 6.183
As Dy O P
2 2 2 2
Direct
0.000 0.315 0.056 As
0.000 0.685 0.556 As
0.500 0.176 0.484 Dy
0.500 0.824 0.984 Dy
0.500 0.934 0.290 O
0.500 0.066 0.790 O
0.000 0.372 0.424 P
0.000 0.628 0.924 P
```

Model b:
Computed, not measured: a geometry-optimized DyAsPO structure at the PBE level of DFT.

```
DyAsPO
1.0
5.610 0.000 0.000
0.000 5.610 0.000
0.000 0.000 4.687
As Dy O P
2 2 2 2
Direct
0.500 0.000 0.003 As
0.000 0.500 0.997 As
0.000 0.000 0.500 Dy
0.500 0.500 0.500 Dy
0.000 0.000 0.000 O
0.500 0.500 0.000 O
0.000 0.500 0.497 P
0.500 0.000 0.503 P
```

Which is most stable, and by how much? model a, by 352 meV per atom.

Model a:
Computed, not measured: a geometry-optimized PmDyAsO structure at the PBE level of DFT.

```
PmDyAsO
1.0
4.173 0.000 0.000
0.000 7.921 0.000
0.000 0.000 5.766
As Dy O Pm
2 2 2 2
Direct
0.000 0.353 0.434 As
0.000 0.647 0.934 As
0.000 0.710 0.439 Dy
0.000 0.290 0.939 Dy
0.500 0.823 0.393 O
0.500 0.177 0.893 O
0.500 0.120 0.489 Pm
0.500 0.880 0.989 Pm
```

Model b:
Computed, not measured: a geometry-optimized PmDyAsO structure at the PBE level of DFT.

```
PmDyAsO
1.0
4.279 0.000 0.000
0.000 7.592 0.000
0.000 0.000 6.089
As Dy O Pm
2 2 2 2
Direct
0.000 0.826 0.428 As
0.000 0.174 0.928 As
0.500 0.393 0.017 Dy
0.500 0.607 0.517 Dy
0.500 0.335 0.373 O
0.500 0.665 0.873 O
0.000 0.204 0.436 Pm
0.000 0.796 0.936 Pm
```

Which is most stable, and by how much? model b, by 44 meV per atom.

Model a:
Computed, not measured: a geometry-optimized PmDyAsO structure at the PBE level of DFT.

```
PmDyAsO
1.0
4.303 0.000 0.000
0.000 4.303 0.000
0.000 0.000 9.127
As Dy O Pm
2 2 2 2
Direct
0.000 0.500 0.283 As
0.500 0.000 0.717 As
0.500 0.000 0.098 Dy
0.000 0.500 0.902 Dy
0.000 0.000 0.000 O
0.500 0.500 0.000 O
0.000 0.000 0.500 Pm
0.500 0.500 0.500 Pm
```

Model b:
Computed, not measured: a geometry-optimized PmDyAsO structure at the PBE level of DFT.

```
PmDyAsO
1.0
-4.112 0.835 -1.292
-1.209 -4.035 1.238
-1.952 3.107 8.221
As Dy O Pm
2 2 2 2
Direct
0.750 0.750 0.300 As
0.250 0.250 0.700 As
0.750 0.250 0.500 Dy
0.250 0.750 0.500 Dy
0.750 0.250 0.000 O
0.250 0.750 0.000 O
0.250 0.250 0.107 Pm
0.750 0.750 0.893 Pm
```

Which is most stable, and by how much? model b, by 82 meV per atom.

Model a:
Computed, not measured: a geometry-optimized RbDyAsO structure at the PBE level of DFT.

```
RbDyAsO
1.0
-3.550 1.977 2.976
-5.450 -3.919 -3.898
0.680 -5.163 4.240
As Dy O Rb
2 2 2 2
Direct
0.000 0.809 0.453 As
0.000 0.191 0.953 As
0.500 0.359 0.020 Dy
0.500 0.641 0.520 Dy
0.500 0.432 0.322 O
0.500 0.568 0.822 O
0.000 0.247 0.459 Rb
0.000 0.753 0.959 Rb
```

Model b:
Computed, not measured: a geometry-optimized RbDyAsO structure at the PBE level of DFT.

```
RbDyAsO
1.0
4.138 0.000 0.000
0.000 4.138 0.000
0.000 0.000 10.909
As Dy O Rb
2 2 2 2
Direct
0.750 0.750 0.261 As
0.250 0.250 0.739 As
0.250 0.250 0.089 Dy
0.750 0.750 0.911 Dy
0.750 0.250 0.000 O
0.250 0.750 0.000 O
0.750 0.250 0.500 Rb
0.250 0.750 0.500 Rb
```

Which is most stable, and by how much? model a, by 100 meV per atom.

Model a:
Computed, not measured: a geometry-optimized RbDyAsO structure at the PBE level of DFT.

```
RbDyAsO
1.0
3.470 0.000 0.000
0.000 8.086 0.000
0.000 0.000 7.940
As Dy O Rb
2 2 2 2
Direct
0.000 0.799 0.313 As
0.000 0.201 0.813 As
0.000 0.125 0.456 Dy
0.000 0.875 0.956 Dy
0.500 0.251 0.383 O
0.500 0.749 0.883 O
0.500 0.452 0.102 Rb
0.500 0.548 0.602 Rb
```

Model b:
Computed, not measured: a geometry-optimized RbDyAsO structure at the PBE level of DFT.

```
RbDyAsO
1.0
-4.599 2.780 -2.439
-1.722 -5.054 -2.513
-2.929 -1.116 4.250
As Dy O Rb
2 2 2 2
Direct
0.500 0.000 0.499 As
0.000 0.500 0.501 As
0.000 0.000 0.500 Dy
0.500 0.500 0.500 Dy
0.000 0.000 0.000 O
0.500 0.500 0.000 O
0.000 0.500 0.001 Rb
0.500 0.000 0.999 Rb
```

Which is most stable, and by how much? model a, by 676 meV per atom.